Record 1
# ErAl

ErAl at its PBEsol-relaxed geometry (meta-GGA SCAN, the Alexandria database).

Total moment, μB per atom: 0.00
ΔH_f (0 K), eV per atom: -0.444
Calculated total energy, eV/atom: -29.49

a b c (Å): 5.7386 11.2149 5.4982
angles (deg): 90.00 90.00 90.00
Closest atoms and distances in Å follow each position.
Space group Pbcm (No. 57)
Inequivalent atoms, fractional coordinates:
Er1 0.0991 0.1686 0.2500 x4  6 Al 2.99-3.22, 3 Er 3.26-3.30
Er2 0.3399 0.0158 0.7500 x4  8 Al 3.00-3.33, 3 Er 3.26-3.33
Al1 0.1586 0.5967 0.7500 x4  2 Al 2.70, 4 Er 2.99-3.02
Al2 0.4321 0.7500 0.0000 x4  4 Al 2.70-2.75



Record 2
# Er2Al

Er2Al at its PBEsol-relaxed geometry (meta-GGA SCAN, the Alexandria database).

Total moment, μB per atom: 0.02
ΔH_f (0 K), eV per atom: -0.320
Calculated total energy, eV/atom: -36.46

a b c (Å): 6.3834 4.9957 9.2304
angles (deg): 90.00 90.00 90.00
Closest atoms and distances in Å follow each position.
Space group Pnma (No. 62)
Inequivalent atoms, fractional coordinates:
Er1 0.0270 0.2500 0.2116 x4  3 Al 3.08-3.11, 5 Er 3.27-3.40
Er2 0.1882 0.2500 0.5730 x4  5 Al 3.00-3.32, 2 Er 3.34
Al1 0.2071 0.2500 0.8980 x4  8 Er 3.00-3.32



Record 3
# Er2Al3Fe14

Er2Al3Fe14 at its PBEsol-relaxed geometry (meta-GGA SCAN, the Alexandria database).

Total moment, μB per atom: 1.60
ΔH_f (0 K), eV per atom: -0.106
Calculated total energy, eV/atom: -19.99

a b c (Å): 8.2520 8.2520 8.1561
angles (deg): 90.00 90.00 120.00
Closest atoms and distances in Å follow each position.
Space group P6_3/mmc (No. 194)
Inequivalent atoms, fractional coordinates:
Er1 0.0000 0.0000 0.2500 x2  12 Fe 2.78-3.01
Er2 0.3333 0.6667 0.2500 x2  14 Fe 2.93-3.12, 6 Al 3.14
Al1 0.0000 0.5000 0.0000 x6  10 Fe 2.42-2.56
Fe1 0.0296 0.3509 0.7500 x12  5 Fe 2.41-2.49, 2 Al 2.46
Fe2 0.1618 0.3236 0.0135 x12  6 Fe 2.32-2.49, 2 Al 2.42
Fe3 0.3333 0.6667 0.6138 x4  1 Fe 2.22



Please write out number 1 again, unchanged.
# ErAl

ErAl at its PBEsol-relaxed geometry (meta-GGA SCAN, the Alexandria database).

Total moment, μB per atom: 0.00
ΔH_f (0 K), eV per atom: -0.444
Calculated total energy, eV/atom: -29.49

a b c (Å): 5.7386 11.2149 5.4982
angles (deg): 90.00 90.00 90.00
Closest atoms and distances in Å follow each position.
Space group Pbcm (No. 57)
Inequivalent atoms, fractional coordinates:
Er1 0.0991 0.1686 0.2500 x4  6 Al 2.99-3.22, 3 Er 3.26-3.30
Er2 0.3399 0.0158 0.7500 x4  8 Al 3.00-3.33, 3 Er 3.26-3.33
Al1 0.1586 0.5967 0.7500 x4  2 Al 2.70, 4 Er 2.99-3.02
Al2 0.4321 0.7500 0.0000 x4  4 Al 2.70-2.75